Computed, not measured: InSiP2 after structural relaxation at the PBE level of DFT.

```
InSiP2
1.0
3.284 -3.295 0.000
3.284 3.295 0.000
0.000 0.000 3.248
In Si P
1 1 2
direct
0.000 0.000 0.000
0.500 0.500 0.000
0.000 0.500 0.500
0.500 0.000 0.500
```

Values from the calculation:
The value obtained for the energy relative to the lowest polymorph listed for this composition is 2.28 eV/f.u. For the total DFT energy (no corrections), the calculation gives -4.179 eV/atom. Its size of the total moment is 0.0000 μB/atom. For the raw formation energy, the calculation gives 2.3 eV/f.u. As for the density of states at the Fermi level: 0.4195 states/eV per atom.


Computed, not measured: InSiP4 after structural relaxation at the PBE level of DFT.

```
InSiP4
1.0
0.000 3.964 3.964
3.964 0.000 3.964
3.964 3.964 0.000
In Si P
1 1 4
direct
0.000 0.000 0.000
0.250 0.250 0.250
0.196 0.601 0.601
0.601 0.196 0.601
0.601 0.601 0.196
0.601 0.601 0.601
```

Values from the calculation:
For the total DFT energy (no corrections), the calculation gives -4.327 eV/atom. Its size of the total moment is 0.0000 μB/atom. For the raw formation energy, the calculation gives 3.8 eV/f.u. As for the density of states at the Fermi level: 0.7653 states/eV per atom.


Computed, not measured: InSiP2 after structural relaxation at the PBE level of DFT.

```
InSiP2
1.0
3.460 0.000 0.000
0.000 3.460 0.000
0.000 0.000 6.438
In Si P
1 1 2
direct
0.000 0.000 0.000
0.000 0.000 0.500
0.500 0.500 0.331
0.500 0.500 0.669
```

Values from the calculation:
The value obtained for the energy relative to the lowest polymorph listed for this composition is 1.51 eV/f.u. For the total DFT energy (no corrections), the calculation gives -4.371 eV/atom. Its size of the total moment is 0.0000 μB/atom. For the raw formation energy, the calculation gives 1.5 eV/f.u. As for the density of states at the Fermi level: 0.4859 states/eV per atom.


Computed, not measured: In2SiP after structural relaxation at the PBE level of DFT.

```
In2SiP
1.0
3.562 0.000 0.000
0.000 3.562 0.000
0.000 0.000 6.579
In Si P
2 1 1
direct
0.000 0.000 0.240
0.000 0.000 0.760
0.500 0.500 0.500
0.500 0.500 0.000
```

Values from the calculation:
The value obtained for the energy relative to the lowest polymorph listed for this composition is 1.03 eV/f.u. For the total DFT energy (no corrections), the calculation gives -3.660 eV/atom. Its size of the total moment is 0.0000 μB/atom. For the raw formation energy, the calculation gives 1.7 eV/f.u. As for the density of states at the Fermi level: 0.1699 states/eV per atom.


Computed, not measured: In2SiP after structural relaxation at the PBE level of DFT.

```
In2SiP
1.0
3.838 0.000 0.000
0.000 4.170 0.000
0.000 0.000 5.318
In Si P
2 1 1
direct
0.000 0.000 0.000
0.000 0.500 0.500
0.500 0.000 0.500
0.500 0.500 0.000
```

Values from the calculation:
The value obtained for the energy relative to the lowest polymorph listed for this composition is 1.07 eV/f.u. For the total DFT energy (no corrections), the calculation gives -3.650 eV/atom. Its size of the total moment is 0.0000 μB/atom. For the raw formation energy, the calculation gives 1.7 eV/f.u. As for the density of states at the Fermi level: 0.3577 states/eV per atom.


Computed, not measured: InSiP2 after structural relaxation at the PBE level of DFT.

```
InSiP2
1.0
-1.645 2.457 4.620
1.645 -2.457 4.620
1.645 2.457 -4.620
In Si P
1 1 2
direct
0.000 0.000 0.000
0.500 0.500 0.000
0.314 0.814 0.500
0.686 0.186 0.500
```

Values from the calculation:
The value obtained for the energy relative to the lowest polymorph listed for this composition is 1.68 eV/f.u. For the total DFT energy (no corrections), the calculation gives -4.329 eV/atom. Its size of the total moment is 0.0000 μB/atom. For the raw formation energy, the calculation gives 1.7 eV/f.u. As for the density of states at the Fermi level: 0.6260 states/eV per atom.


Computed, not measured: InSiP2 after structural relaxation at the PBE level of DFT.

```
InSiP2
1.0
0.000 3.291 3.291
3.291 0.000 3.291
3.291 3.291 0.000
In Si P
1 1 2
direct
0.000 0.000 0.000
0.250 0.250 0.250
0.500 0.500 0.500
0.750 0.750 0.750
```

Values from the calculation:
The value obtained for the energy relative to the lowest polymorph listed for this composition is 2.63 eV/f.u. For the total DFT energy (no corrections), the calculation gives -4.093 eV/atom. Its size of the total moment is 0.0000 μB/atom. For the raw formation energy, the calculation gives 2.6 eV/f.u. As for the density of states at the Fermi level: 0.5877 states/eV per atom.


Computed, not measured: In2SiP after structural relaxation at the PBE level of DFT.

```
In2SiP
1.0
3.815 0.000 0.000
0.000 3.388 0.000
-1.803 0.000 7.123
In Si P
2 1 1
direct
0.000 0.000 0.000
0.338 0.500 0.665
0.613 0.500 0.229
0.727 0.000 0.440
```

Values from the calculation:
The value obtained for the energy relative to the lowest polymorph listed for this composition is 0.00 eV/f.u. For the total DFT energy (no corrections), the calculation gives -3.917 eV/atom. Its size of the total moment is 0.0000 μB/atom. For the raw formation energy, the calculation gives 0.6 eV/f.u. As for the density of states at the Fermi level: 0.3724 states/eV per atom.


Computed, not measured: InSiP2 after structural relaxation at the PBE level of DFT.

```
InSiP2
1.0
1.587 -2.747 0.000
1.587 2.747 0.000
0.000 0.000 8.721
In Si P
1 1 2
direct
0.000 0.000 0.000
0.500 0.500 0.704
0.000 0.000 0.491
0.500 0.500 0.310
```

Values from the calculation:
The value obtained for the energy relative to the lowest polymorph listed for this composition is 2.12 eV/f.u. For the total DFT energy (no corrections), the calculation gives -4.218 eV/atom. Its size of the total moment is 0.0000 μB/atom. For the raw formation energy, the calculation gives 2.1 eV/f.u. As for the density of states at the Fermi level: 0.5580 states/eV per atom.


Computed, not measured: InSiP2 after structural relaxation at the PBE level of DFT.

```
InSiP2
1.0
-1.845 1.845 5.490
1.845 -1.845 5.490
1.845 1.845 -5.490
In Si P
1 1 2
direct
0.000 0.000 0.000
0.750 0.250 0.500
0.250 0.750 0.500
0.500 0.500 0.000
```

Values from the calculation:
The value obtained for the energy relative to the lowest polymorph listed for this composition is 2.18 eV/f.u. For the total DFT energy (no corrections), the calculation gives -4.204 eV/atom. Its size of the total moment is 0.0000 μB/atom. For the raw formation energy, the calculation gives 2.2 eV/f.u. As for the density of states at the Fermi level: 0.5729 states/eV per atom.


Computed, not measured: In2SiSnP4 after structural relaxation at the PBE level of DFT.

```
In2SiSnP4
1.0
0.000 4.670 5.164
3.992 0.000 5.164
3.992 4.670 0.000
In Si Sn P
2 1 1 4
direct
0.000 0.000 0.500
0.500 0.500 0.000
0.249 0.249 0.751
0.787 0.787 0.213
0.132 0.561 0.439
0.356 0.887 0.644
0.561 0.132 0.868
0.887 0.356 0.113
```

Values from the calculation:
For the total DFT energy (no corrections), the calculation gives -4.636 eV/atom. Its size of the total moment is 0.0000 μB/atom. For the raw formation energy, the calculation gives -0.5 eV/f.u. As for the density of states at the Fermi level: 0.1405 states/eV per atom.


Computed, not measured: SmInP2 after structural relaxation at the PBE level of DFT.

```
SmInP2
1.0
2.035 1.175 6.394
-2.035 1.175 6.394
0.000 -2.350 6.394
Sm In P
1 1 2
direct
0.000 0.000 0.000
0.500 0.500 0.500
0.246 0.246 0.246
0.754 0.754 0.754
```

Values from the calculation:
For the total DFT energy (no corrections), the calculation gives -5.215 eV/atom. The formation energy comes out at -645 meV/atom. Its size of the total moment is 0.0000 μB/atom. As for the density of states at the Fermi level: 0.0669 states/eV per atom.


Computed, not measured: Sm3InP after structural relaxation at the PBE level of DFT.

```
Sm3InP
1.0
5.389 0.000 0.000
0.000 5.389 0.000
0.000 0.000 5.389
Sm In P
3 1 1
direct
0.000 0.000 0.500
0.000 0.500 0.000
0.500 0.000 0.000
0.500 0.500 0.500
0.000 0.000 0.000
```

Values from the calculation:
The value obtained for the energy relative to the lowest polymorph listed for this composition is 0.34 eV/f.u. For the total DFT energy (no corrections), the calculation gives -5.154 eV/atom. The formation energy comes out at -693 meV/atom. Its size of the total moment is 0.0000 μB/atom. As for the density of states at the Fermi level: 0.4571 states/eV per atom.


Computed, not measured: Sm3InP after structural relaxation at the PBE level of DFT.

```
Sm3InP
1.0
6.928 0.000 0.000
0.000 4.600 0.000
-0.010 0.000 8.990
Sm In P
6 2 2
direct
0.003 0.250 0.164
0.249 0.250 0.576
0.497 0.250 0.164
0.503 0.750 0.836
0.751 0.750 0.424
0.997 0.750 0.836
0.250 0.750 0.347
0.750 0.250 0.653
0.250 0.250 0.897
0.750 0.750 0.103
```

Values from the calculation:
The value obtained for the energy relative to the lowest polymorph listed for this composition is 0.00 eV/f.u. For the total DFT energy (no corrections), the calculation gives -5.222 eV/atom. The formation energy comes out at -760 meV/atom. Its size of the total moment is 0.0000 μB/atom. As for the density of states at the Fermi level: 0.9078 states/eV per atom.


Computed, not measured: InSn2P after structural relaxation at the PBE level of DFT.

```
InSn2P
1.0
0.000 3.654 3.654
3.654 0.000 3.654
3.654 3.654 0.000
In Sn P
1 2 1
direct
0.000 0.000 0.000
0.250 0.250 0.250
0.750 0.750 0.750
0.500 0.500 0.500
```

Values from the calculation:
The value obtained for the energy relative to the lowest polymorph listed for this composition is 0.95 eV/f.u. For the total DFT energy (no corrections), the calculation gives -3.750 eV/atom. The formation energy comes out at 289 meV/atom. Its size of the total moment is 0.0000 μB/atom. As for the density of states at the Fermi level: 0.7362 states/eV per atom.